A plane-wave DFT calculation with PBE was carried out for an optimized crystal structure of RbCeS2.

The structure belongs to space group R-3m (No. 166, hexagonal axes); the cell edges are 4.2464, 4.2464 and 23.0298 Å and the angles 90.00°, 90.00° and 120.00°. The distinct sites, in fractional coordinates, are Rb at (0.0000, 0.0000, 0.0000), Ce at (0.0000, 0.0000, 0.5000) and S at (0.0000, 0.0000, 0.2319).

For the density of states at the Fermi level, the calculation gives 1.54 states/eV per atom. The value obtained for the uncorrected formation energy is -1.76 eV per atom.